Entry from Alexandria: an optimized crystal structure of Li6In5Sn (PBE-GGA).

Unit cell a=4.8468 b=8.3209 c=8.3209 alpha=120.41 beta=106.61 gamma=106.61
Closest atoms and distances in Å follow each position.
Positions (direct):
In 0.5000 0.1690 0.8310  8 Li 2.93-2.97
In 0.0000 0.3343 0.6657  8 Li 2.94-2.98
In 0.5000 0.5000 0.5000  8 Li 2.94-2.98
In 0.0000 0.6657 0.3343  8 Li 2.94-2.98
In 0.5000 0.8310 0.1690  8 Li 2.93-2.97
Sn 0.0000 0.0000 0.0000  8 Li 2.93-2.96
Li 0.2480 0.0823 0.4142  1 Sn 2.93, 7 In 2.93-2.98
Li 0.7520 0.5858 0.9177  1 Sn 2.93, 7 In 2.93-2.98
Li 0.7471 0.2475 0.2475  2 Sn 2.93-2.96, 6 In 2.94-2.98
Li 0.2529 0.7525 0.7525  2 Sn 2.93-2.96, 6 In 2.94-2.98
Li 0.2480 0.4142 0.0823  1 Sn 2.93, 7 In 2.93-2.98
Li 0.7520 0.9177 0.5858  1 Sn 2.93, 7 In 2.93-2.98

Summary:
Symmetry: C2/m (12)
Density of states at the Fermi level: 0.224 states/eV/atom
ΔE_f: -0.291 eV per atom



Entry from Alexandria: an optimized crystal structure of Ho2LuTl (PBE-GGA).

Unit cell a=5.4171 b=5.4171 c=5.4171 alpha=60.00 beta=60.00 gamma=60.00
Closest atoms and distances in Å follow each position.
Positions (direct):
Tl 0.5000 0.5000 0.5000  8 Ho 3.32
Lu 0.0000 0.0000 0.0000  8 Ho 3.32
Ho 0.2500 0.2500 0.2500  4 Tl 3.32, 4 Lu 3.32
Ho 0.7500 0.7500 0.7500  4 Lu 3.32, 4 Tl 3.32

Summary:
Energy relative to the lowest polymorph listed for this composition: 0.54 eV per formula unit
Symmetry: Fm-3m (225)
Density of states at the Fermi level: 1.532 states/eV/atom
ΔE_f: -0.028 eV per atom



Entry from Alexandria: an optimized crystal structure of Ca3Al2Ga9 (PBE-GGA).

Unit cell a=8.4901 b=8.4901 c=8.4901 alpha=150.78 beta=105.58 gamma=81.88
Closest atoms and distances in Å follow each position.
Positions (direct):
Ca 0.0000 0.0000 0.0000  12 Ga 3.24-3.39
Ca 0.3138 0.3138 0.0000  10 Ga 3.17-3.21, 2 Al 3.23
Ca 0.6862 0.6862 0.0000  10 Ga 3.17-3.21, 2 Al 3.23
Al 0.2886 0.5000 0.7886  6 Ga 2.66-2.84
Al 0.7114 0.5000 0.2114  6 Ga 2.66-2.84
Ga 0.5000 0.0000 0.5000  4 Ga 2.95, 4 Al 3.05, 4 Ca 3.21
Ga 0.9639 0.3387 0.6253  4 Ga 2.57-2.68, 1 Al 2.66
Ga 0.0361 0.6613 0.3747  4 Ga 2.57-2.68, 1 Al 2.66
Ga 0.7134 0.3387 0.3747  4 Ga 2.57-2.68, 1 Al 2.66
Ga 0.2866 0.6613 0.6253  4 Ga 2.57-2.68, 1 Al 2.66
Ga 0.8682 0.1447 0.7235  4 Ga 2.65-2.95, 2 Al 2.84
Ga 0.1318 0.8553 0.2765  4 Ga 2.65-2.95, 2 Al 2.84
Ga 0.4212 0.1447 0.2765  4 Ga 2.65-2.95, 2 Al 2.84
Ga 0.5788 0.8553 0.7235  4 Ga 2.65-2.95, 2 Al 2.84

Summary:
Symmetry: Immm (71)
Density of states at the Fermi level: 0.364 states/eV/atom
ΔE_f: -0.350 eV per atom



Entry from Alexandria: an optimized crystal structure of RbTlS2 (PBE-GGA).

Unit cell a=20.2355 b=7.9779 c=7.9779 alpha=106.20 beta=110.42 gamma=69.58
Closest atoms and distances in Å follow each position.
Positions (direct):
Tl 0.3539 0.5894 0.1301  4 S 2.53-2.78
Tl 0.1461 0.6301 0.0894  4 S 2.53-2.78
Tl 0.6461 0.4106 0.8699  4 S 2.53-2.78
Tl 0.8539 0.3699 0.9106  4 S 2.53-2.78
Tl 0.3435 0.1089 0.2879  3 S 2.87-3.05
Tl 0.1565 0.7879 0.6089  3 S 2.87-3.05
Tl 0.6565 0.8911 0.7121  3 S 2.87-3.05
Tl 0.8435 0.2121 0.3911  3 S 2.87-3.05
S 0.0633 0.7465 0.8005  1 Tl 2.53
S 0.4367 0.3005 0.2465  1 Tl 2.53
S 0.9367 0.2535 0.1995  1 Tl 2.53
S 0.5633 0.6995 0.7535  1 Tl 2.53
S 0.7183 0.5221 0.2296  1 S 2.08
S 0.7817 0.7296 0.0221  1 S 2.08
S 0.2817 0.4779 0.7704  1 S 2.08
S 0.2183 0.2704 0.9779  1 S 2.08
S 0.4208 0.7859 0.0903  1 Tl 2.54
S 0.0792 0.5903 0.2859  1 Tl 2.54
S 0.5792 0.2141 0.9097  1 Tl 2.54
S 0.9208 0.4097 0.7141  1 Tl 2.54
S 0.7500 0.2227 0.7227  2 Tl 2.57
S 0.2500 0.7773 0.2773  2 Tl 2.57
S 0.7500 0.7494 0.2494  2 S 2.08
S 0.2500 0.2506 0.7506  2 S 2.08
Rb 0.0730 0.1713 0.0213  5 S 3.32-3.52
Rb 0.4270 0.5213 0.6713  5 S 3.32-3.52
Rb 0.9270 0.8287 0.9787  5 S 3.32-3.52
Rb 0.5730 0.4787 0.3287  5 S 3.32-3.52
Rb 0.4241 0.0686 0.8143  6 S 3.22-3.59, 1 Rb 3.54
Rb 0.0759 0.3143 0.5686  6 S 3.22-3.59, 1 Rb 3.54
Rb 0.5759 0.9314 0.1857  6 S 3.22-3.59, 1 Rb 3.54
Rb 0.9241 0.6857 0.4314  6 S 3.22-3.59, 1 Rb 3.54

Summary:
Energy relative to the elements, uncorrected: -568 meV/atom
Energy relative to the lowest polymorph listed for this composition: 0.27 eV per formula unit
Symmetry: C2/c (15)
Density of states at the Fermi level: 0.000 states/eV/atom



Entry from Alexandria: an optimized crystal structure of MgPdAu (PBE-GGA).

Unit cell a=5.7079 b=4.0654 c=9.0758 alpha=90.00 beta=107.32 gamma=90.00
Closest atoms and distances in Å follow each position.
Positions (direct):
Mg 0.3886 0.0000 0.5669  4 Pd 2.76-2.89, 6 Au 2.80-3.04
Mg 0.3886 0.5000 0.0669  4 Pd 2.76-2.89, 6 Au 2.80-3.04
Mg 0.7826 0.0000 0.2626  5 Pd 2.76-2.82, 5 Au 2.79-3.00
Mg 0.7826 0.5000 0.7626  5 Pd 2.76-2.82, 5 Au 2.79-3.00
Pd 0.9033 0.0000 0.5873  5 Mg 2.79-2.89, 4 Au 2.84-2.92, 3 Pd 2.84-2.94
Pd 0.9033 0.5000 0.0873  5 Mg 2.79-2.89, 4 Au 2.84-2.92, 3 Pd 2.84-2.94
Pd 0.0857 0.0000 0.9150  4 Mg 2.76, 5 Au 2.82-2.93, 3 Pd 2.84-2.94
Pd 0.0857 0.5000 0.4150  4 Mg 2.76, 5 Au 2.82-2.93, 3 Pd 2.84-2.94
Au 0.2592 0.0000 0.2404  5 Mg 2.79-2.93, 5 Pd 2.82-2.93, 2 Au 2.91
Au 0.2592 0.5000 0.7404  5 Mg 2.79-2.93, 5 Pd 2.82-2.93, 2 Au 2.91
Au 0.5896 0.0000 0.9172  4 Pd 2.84-2.87, 6 Mg 2.87-3.04, 2 Au 2.91
Au 0.5896 0.5000 0.4172  4 Pd 2.84-2.87, 6 Mg 2.87-3.04, 2 Au 2.91

Summary:
Energy relative to the lowest polymorph listed for this composition: 0.03 eV per formula unit
Symmetry: Cm (8)
Density of states at the Fermi level: 0.239 states/eV/atom
ΔE_f: -0.569 eV per atom



Entry from Alexandria: an optimized crystal structure of Pm2CuGe6Rh (PBE-GGA).

Unit cell a=6.2205 b=6.2205 c=12.8883 alpha=76.04 beta=76.04 gamma=60.00
Closest atoms and distances in Å follow each position.
Positions (direct):
Pm 0.8882 0.8882 0.3354  9 Ge 3.20-3.24
Pm 0.1118 0.1118 0.6646  9 Ge 3.20-3.24
Pm 0.6980 0.6980 0.9059  9 Ge 3.15-3.20
Pm 0.3020 0.3020 0.0941  9 Ge 3.15-3.20
Cu 0.0000 0.0000 0.0000  6 Ge 2.60
Cu 0.5000 0.5000 0.5000  2 Rh 2.54, 6 Ge 2.56
Ge 0.9365 0.3376 0.3883  1 Rh 2.44, 2 Ge 2.50, 1 Cu 2.56
Ge 0.3376 0.9365 0.3883  1 Rh 2.44, 2 Ge 2.50, 1 Cu 2.56
Ge 0.3376 0.3376 0.3883  1 Rh 2.44, 2 Ge 2.50, 1 Cu 2.56
Ge 0.0635 0.6624 0.6117  1 Rh 2.44, 2 Ge 2.50, 1 Cu 2.56
Ge 0.6624 0.0635 0.6117  1 Rh 2.44, 2 Ge 2.50, 1 Cu 2.56
Ge 0.6624 0.6624 0.6117  1 Rh 2.44, 2 Ge 2.50, 1 Cu 2.56
Ge 0.6674 0.2318 0.8689  1 Rh 2.56, 1 Cu 2.60, 2 Ge 2.71
Ge 0.2318 0.6674 0.8689  1 Rh 2.56, 1 Cu 2.60, 2 Ge 2.71
Ge 0.2318 0.2318 0.8689  1 Rh 2.56, 1 Cu 2.60, 2 Ge 2.71
Ge 0.3326 0.7682 0.1311  1 Rh 2.56, 1 Cu 2.60, 2 Ge 2.71
Ge 0.7682 0.3326 0.1311  1 Rh 2.56, 1 Cu 2.60, 2 Ge 2.71
Ge 0.7682 0.7682 0.1311  1 Rh 2.56, 1 Cu 2.60, 2 Ge 2.71
Rh 0.5685 0.5685 0.2944  6 Ge 2.44-2.56, 1 Cu 2.54
Rh 0.4315 0.4315 0.7056  6 Ge 2.44-2.56, 1 Cu 2.54

Summary:
Symmetry: R-3m (166)
Density of states at the Fermi level: 0.390 states/eV/atom
ΔE_f: -0.351 eV per atom



Entry from Alexandria: an optimized crystal structure of ScIrRh2 (PBE-GGA).

Unit cell a=3.3212 b=3.3212 c=5.7223 alpha=90.00 beta=90.00 gamma=90.00
Closest atoms and distances in Å follow each position.
Positions (direct):
Ir 0.5000 0.5000 0.7706  5 Rh 2.67-2.71, 4 Sc 2.83
Rh 0.0000 0.0000 0.9908  4 Ir 2.67, 4 Rh 2.76, 2 Sc 2.84-2.89
Rh 0.5000 0.5000 0.2434  2 Ir 2.71-3.02, 4 Sc 2.76, 4 Rh 2.76
Sc 0.0000 0.0000 0.4952  6 Rh 2.76-2.89, 4 Ir 2.83

Summary:
Symmetry: P4mm (99)
Density of states at the Fermi level: 1.450 states/eV/atom
ΔE_f: -0.309 eV per atom



Entry from Alexandria: an optimized crystal structure of NaBeTe2 (PBE-GGA).

Unit cell a=7.4118 b=7.4118 c=6.5353 alpha=55.45 beta=55.45 gamma=90.00
Closest atoms and distances in Å follow each position.
Positions (direct):
Na 0.0000 0.0000 0.0000  4 Te 3.23
Na 0.7500 0.2500 0.5000  4 Te 3.23
Te 0.5432 0.1250 0.2500  2 Be 2.44
Te 0.2068 0.6250 0.2500  2 Be 2.44
Te 0.3750 0.4568 0.7500  2 Be 2.44
Te 0.8750 0.7932 0.7500  2 Be 2.44
Be 0.5000 0.5000 0.0000  4 Te 2.44
Be 0.2500 0.7500 0.5000  4 Te 2.44

Summary:
Energy relative to the elements, uncorrected: -360 meV/atom
Symmetry: I-42d (122)
Density of states at the Fermi level: 0.396 states/eV/atom



Going through the records in order, we get raw total energy values of -2.723 -4.039 -3.259 -3.465 -3.924 -5.217 -7.783 -3.192 eV/atom.
Going through the records in order, we get volume values of 236.71 112.41 282.11 139.10 50.26 207.39 63.12 107.24 Å³/f.u..